No. 1
{"formula": "Ho2Mn2O5", "functional": "PBE+U", "state": "relaxed", "final_energy_ev_per_atom": -7.99, "space_group": "C2/m", "lattice_angstrom": [[3.568, 0.000, 1.085], [1.110, 5.488, 2.759], [0.028, 0.062, 6.319]], "species": ["Ho", "Ho", "O", "O", "O", "O", "O", "Mn", "Mn"], "frac_coords": [[0.384, 0.264, 0.969], [0.616, 0.736, 0.031], [0.000, 0.000, 0.000], [0.366, 0.931, 0.336], [0.158, 0.485, 0.199], [0.634, 0.069, 0.664], [0.842, 0.515, 0.801], [0.864, 0.812, 0.459], [0.136, 0.188, 0.541]]}


No. 2
{"formula": "HoMnO", "functional": "PBE+U", "state": "relaxed", "final_energy_ev_per_atom": -7.16, "space_group": "P4/mmm", "lattice_angstrom": [[4.737, 0.000, 0.000], [-2.368, 2.371, 0.000], [0.000, 0.000, 8.732]], "species": ["O", "O", "Ho", "Ho", "Mn", "Mn"], "frac_coords": [[0.278, 0.555, 0.750], [0.278, 0.555, 0.250], [0.778, 0.556, 0.250], [0.778, 0.556, 0.750], [0.278, 0.556, 0.000], [0.278, 0.556, 0.500]]}


No. 3
{"formula": "HoMnO2", "functional": "PBE+U", "state": "relaxed", "final_energy_ev_per_atom": -7.94, "space_group": "R-3m", "lattice_angstrom": [[3.544, 0.000, 0.000], [1.772, 3.069, 0.000], [1.772, 1.023, 5.913]], "species": ["Ho", "O", "O", "Mn"], "frac_coords": [[0.500, 0.500, 0.500], [0.109, 0.109, 0.674], [0.891, 0.891, 0.326], [0.000, 0.000, 0.000]]}


No. 4
{"formula": "Ho3Mn5O12", "functional": "PBE+U", "state": "relaxed", "final_energy_ev_per_atom": -7.81, "space_group": "Ia-3d", "lattice_angstrom": [[10.847, 0.000, 0.000], [-3.616, 10.226, 0.000], [-3.616, -5.113, 8.856]], "species": ["Mn", "Mn", "Mn", "Mn", "Mn", "Mn", "Mn", "Mn", "Mn", "Mn", "Mn", "Mn", "Mn", "Mn", "Mn", "Mn", "Mn", "Mn", "Mn", "Mn", "Ho", "Ho", "Ho", "Ho", "Ho", "Ho", "Ho", "Ho", "Ho", "Ho", "Ho", "Ho", "O", "O", "O", "O", "O", "O", "O", "O", "O", "O", "O", "O", "O", "O", "O", "O", "O", "O", "O", "O", "O", "O", "O", "O", "O", "O", "O", "O", "O", "O", "O", "O", "O", "O", "O", "O", "O", "O", "O", "O", "O", "O", "O", "O", "O", "O", "O", "O"], "frac_coords": [[0.000, 0.500, 0.000], [0.250, 0.875, 0.125], [0.375, 0.250, 0.125], [0.500, 0.000, 0.500], [0.375, 0.125, 0.750], [0.875, 0.250, 0.625], [0.000, 0.000, 0.000], [0.625, 0.875, 0.250], [0.750, 0.125, 0.875], [0.000, 0.000, 0.500], [0.125, 0.375, 0.250], [0.500, 0.500, 0.000], [0.875, 0.625, 0.750], [0.500, 0.000, 0.000], [0.125, 0.750, 0.375], [0.625, 0.750, 0.875], [0.750, 0.625, 0.375], [0.500, 0.500, 0.500], [0.250, 0.375, 0.625], [0.000, 0.500, 0.500], [0.750, 0.375, 0.125], [0.375, 0.625, 0.250], [0.250, 0.125, 0.375], [0.125, 0.250, 0.875], [0.875, 0.750, 0.125], [0.375, 0.750, 0.625], [0.625, 0.250, 0.375], [0.125, 0.875, 0.750], [0.250, 0.625, 0.875], [0.750, 0.875, 0.625], [0.625, 0.375, 0.750], [0.875, 0.125, 0.250], [0.126, 0.422, 0.092], [0.908, 0.830, 0.534], [0.330, 0.796, 0.422], [0.126, 0.704, 0.534], [0.034, 0.626, 0.704], [0.422, 0.296, 0.330], [0.204, 0.534, 0.626], [0.534, 0.330, 0.908], [0.408, 0.034, 0.330], [0.330, 0.534, 0.408], [0.966, 0.592, 0.170], [0.922, 0.830, 0.796], [0.204, 0.670, 0.078], [0.830, 0.922, 0.296], [0.592, 0.966, 0.670], [0.704, 0.126, 0.034], [0.578, 0.704, 0.670], [0.830, 0.908, 0.034], [0.796, 0.330, 0.922], [0.296, 0.422, 0.830], [0.626, 0.034, 0.204], [0.922, 0.092, 0.626], [0.704, 0.578, 0.170], [0.874, 0.578, 0.908], [0.534, 0.204, 0.126], [0.670, 0.204, 0.578], [0.422, 0.126, 0.592], [0.670, 0.466, 0.592], [0.092, 0.922, 0.126], [0.374, 0.966, 0.796], [0.296, 0.874, 0.966], [0.374, 0.408, 0.078], [0.578, 0.874, 0.408], [0.034, 0.408, 0.830], [0.874, 0.296, 0.466], [0.078, 0.170, 0.204], [0.592, 0.626, 0.422], [0.466, 0.670, 0.092], [0.466, 0.796, 0.874], [0.078, 0.908, 0.374], [0.408, 0.374, 0.578], [0.796, 0.466, 0.374], [0.170, 0.078, 0.704], [0.170, 0.092, 0.966], [0.092, 0.170, 0.466], [0.626, 0.592, 0.922], [0.908, 0.078, 0.874], [0.966, 0.374, 0.296]]}


No. 5
{"formula": "HoPaMnO6", "functional": "PBE+U", "state": "relaxed", "final_energy_ev_per_atom": -8.47, "space_group": "P312", "lattice_angstrom": [[-1.913, -3.781, 2.240], [4.755, -2.402, 0.005], [-1.409, 3.127, 4.076]], "species": ["O", "O", "O", "O", "O", "O", "Pa", "Ho", "Mn"], "frac_coords": [[0.733, 0.018, 0.311], [0.733, 0.294, 0.982], [0.267, 0.294, 0.311], [0.733, 0.689, 0.706], [0.267, 0.689, 0.982], [0.267, 0.018, 0.706], [0.000, 0.333, 0.667], [0.500, 0.667, 0.333], [0.500, 0.000, 0.000]]}


No. 6
{"formula": "HoMnPb2O5", "functional": "PBE+U", "state": "relaxed", "final_energy_ev_per_atom": -6.74, "space_group": "Cmc2_1", "lattice_angstrom": [[-1.234, -1.767, -2.765], [5.842, 2.593, -2.043], [5.978, -10.359, 3.952]], "species": ["Pb", "Pb", "Pb", "Pb", "Ho", "Ho", "Mn", "Mn", "O", "O", "O", "O", "O", "O", "O", "O", "O", "O"], "frac_coords": [[0.929, 0.859, 0.182], [0.826, 0.653, 0.818], [0.071, 0.141, 0.682], [0.174, 0.347, 0.318], [0.211, 0.422, 0.039], [0.789, 0.578, 0.539], [0.518, 0.036, 0.940], [0.482, 0.964, 0.440], [0.264, 0.527, 0.650], [0.736, 0.473, 0.150], [0.367, 0.734, 0.958], [0.668, 0.337, 0.925], [0.332, 0.663, 0.425], [0.037, 0.074, 0.029], [0.492, 0.984, 0.784], [0.633, 0.266, 0.458], [0.508, 0.016, 0.284], [0.963, 0.926, 0.529]]}


No. 7
{"formula": "HoPuMnO6", "functional": "PBE+U", "state": "relaxed", "final_energy_ev_per_atom": -8.70, "space_group": "P-31c", "lattice_angstrom": [[5.655, 0.000, 0.000], [-2.828, 4.898, 0.000], [0.000, 0.000, 8.984]], "species": ["O", "O", "O", "O", "O", "O", "O", "O", "O", "O", "O", "O", "Pu", "Pu", "Ho", "Ho", "Mn", "Mn"], "frac_coords": [[0.639, 0.968, 0.869], [0.361, 0.032, 0.131], [0.671, 0.032, 0.369], [0.968, 0.329, 0.131], [0.032, 0.361, 0.631], [0.639, 0.671, 0.631], [0.032, 0.671, 0.869], [0.361, 0.329, 0.369], [0.671, 0.639, 0.131], [0.329, 0.968, 0.631], [0.329, 0.361, 0.869], [0.968, 0.639, 0.369], [0.667, 0.333, 0.250], [0.333, 0.667, 0.750], [0.667, 0.333, 0.750], [0.333, 0.667, 0.250], [0.000, 0.000, 0.000], [0.000, 0.000, 0.500]]}


No. 8
{"formula": "Ho2PuMnO8", "functional": "PBE+U", "state": "relaxed", "final_energy_ev_per_atom": -8.55, "space_group": "P-1", "lattice_angstrom": [[-3.740, 1.208, -3.030], [-2.693, 0.533, 4.135], [1.930, 6.554, 0.948]], "species": ["Pu", "O", "O", "O", "O", "O", "O", "O", "O", "Ho", "Ho", "Mn"], "frac_coords": [[0.000, 0.000, 0.000], [0.713, 0.714, 0.500], [0.160, 0.838, 0.744], [0.202, 0.794, 0.193], [0.704, 0.708, 0.000], [0.840, 0.162, 0.256], [0.296, 0.292, 0.000], [0.287, 0.286, 0.500], [0.798, 0.206, 0.807], [0.467, 0.532, 0.734], [0.533, 0.468, 0.266], [0.000, 0.000, 0.500]]}


No. 9
{"formula": "HoMn2SbO6", "functional": "PBE+U", "state": "relaxed", "final_energy_ev_per_atom": -7.29, "space_group": "R3", "lattice_angstrom": [[-1.465, -3.278, 4.231], [-0.791, -5.428, -0.840], [3.728, -3.700, 2.064]], "species": ["O", "O", "O", "O", "O", "O", "Mn", "Mn", "Sb", "Ho"], "frac_coords": [[0.380, 0.714, 0.744], [0.714, 0.162, 0.744], [0.676, 0.246, 0.235], [0.843, 0.676, 0.235], [0.246, 0.843, 0.235], [0.162, 0.380, 0.744], [0.519, 0.519, 0.443], [0.017, 0.017, 0.948], [0.306, 0.306, 0.081], [0.799, 0.799, 0.603]]}


No. 10
{"formula": "Ho2Mn3Sb3O14", "functional": "PBE+U", "state": "relaxed", "final_energy_ev_per_atom": -7.17, "space_group": "C2/m", "lattice_angstrom": [[7.260, 0.000, 0.000], [3.553, 6.331, 0.000], [3.550, 2.079, 5.952]], "species": ["O", "O", "O", "O", "O", "O", "O", "O", "O", "O", "O", "O", "O", "O", "Mn", "Mn", "Mn", "Sb", "Sb", "Sb", "Ho", "Ho"], "frac_coords": [[0.871, 0.871, 0.880], [0.406, 0.843, 0.424], [0.169, 0.169, 0.594], [0.157, 0.594, 0.576], [0.171, 0.586, 0.168], [0.414, 0.829, 0.832], [0.424, 0.424, 0.822], [0.594, 0.157, 0.576], [0.129, 0.129, 0.120], [0.576, 0.576, 0.178], [0.586, 0.171, 0.168], [0.831, 0.831, 0.406], [0.843, 0.406, 0.424], [0.829, 0.414, 0.832], [0.500, 0.000, 0.000], [0.500, 0.500, 0.500], [0.000, 0.500, 0.000], [0.000, 0.500, 0.500], [0.500, 0.500, 0.000], [0.500, 0.000, 0.500], [0.000, 0.000, 0.500], [0.000, 0.000, 0.000]]}


No. 11
{"formula": "Ho2MnSbO6", "functional": "PBE+U", "state": "relaxed", "final_energy_ev_per_atom": -7.29, "space_group": "P4mm", "lattice_angstrom": [[5.359, 0.000, 0.000], [0.000, 5.229, 0.000], [0.000, 0.000, 5.229]], "species": ["O", "O", "O", "O", "O", "O", "Mn", "Ho", "Ho", "Sb"], "frac_coords": [[0.748, 0.753, 0.247], [0.181, 0.000, 0.000], [0.748, 0.753, 0.753], [0.748, 0.247, 0.247], [0.748, 0.247, 0.753], [0.172, 0.500, 0.500], [0.549, 0.500, 0.500], [0.988, 0.000, 0.500], [0.988, 0.500, 0.000], [0.576, 0.000, 0.000]]}


No. 12
{"formula": "Ho2MnSiO6", "functional": "PBE+U", "state": "relaxed", "final_energy_ev_per_atom": -7.63, "space_group": "P4mm", "lattice_angstrom": [[-3.626, -1.264, -1.547], [-1.334, -1.878, 4.662], [-2.126, 4.581, 1.238]], "species": ["O", "O", "O", "O", "O", "O", "Mn", "Ho", "Ho", "Si"], "frac_coords": [[0.202, 0.000, 0.000], [0.701, 0.230, 0.770], [0.701, 0.770, 0.230], [0.701, 0.770, 0.770], [0.141, 0.500, 0.500], [0.701, 0.230, 0.230], [0.633, 0.500, 0.500], [0.031, 0.500, 0.000], [0.031, 0.000, 0.500], [0.603, 0.000, 0.000]]}


No. 13
{"formula": "Ho2MnSnO6", "functional": "PBE+U", "state": "relaxed", "final_energy_ev_per_atom": -7.65, "space_group": "R3", "lattice_angstrom": [[5.619, 0.000, 0.000], [2.809, 4.865, 0.001], [2.809, 1.621, 4.923]], "species": ["O", "O", "O", "O", "O", "O", "Ho", "Ho", "Sn", "Mn"], "frac_coords": [[0.204, 0.949, 0.251], [0.597, 0.203, 0.251], [0.428, 0.691, 0.762], [0.949, 0.597, 0.251], [0.118, 0.428, 0.762], [0.692, 0.118, 0.762], [0.528, 0.528, 0.417], [0.026, 0.026, 0.922], [0.315, 0.315, 0.054], [0.806, 0.806, 0.581]]}


No. 14
{"formula": "SrHo4Mn3O12", "functional": "PBE+U", "state": "relaxed", "final_energy_ev_per_atom": -7.69, "space_group": "Im-3", "lattice_angstrom": [[-4.671, 5.293, -0.496], [-2.372, -5.588, -3.637], [0.826, -1.788, 6.797]], "species": ["O", "O", "O", "O", "O", "O", "O", "O", "O", "O", "O", "O", "Ho", "Ho", "Ho", "Ho", "Mn", "Mn", "Mn", "Sr"], "frac_coords": [[0.678, 0.158, 0.835], [0.678, 0.842, 0.520], [0.842, 0.165, 0.322], [0.322, 0.158, 0.480], [0.835, 0.678, 0.158], [0.842, 0.520, 0.678], [0.480, 0.322, 0.158], [0.322, 0.842, 0.165], [0.158, 0.835, 0.678], [0.520, 0.678, 0.842], [0.158, 0.480, 0.322], [0.165, 0.322, 0.842], [0.000, 0.500, 0.000], [0.500, 0.000, 0.000], [0.000, 0.000, 0.500], [0.500, 0.500, 0.500], [0.500, 0.500, 0.000], [0.500, 0.000, 0.500], [0.000, 0.500, 0.500], [0.000, 0.000, 0.000]]}


No. 15
{"formula": "Sr2HoMnO5", "functional": "PBE+U", "state": "relaxed", "final_energy_ev_per_atom": -7.11, "space_group": "Cmc2_1", "lattice_angstrom": [[3.486, 0.000, 0.000], [-1.743, 6.659, 0.000], [0.000, 0.000, 11.565]], "species": ["O", "O", "O", "O", "O", "O", "O", "O", "O", "O", "Sr", "Sr", "Sr", "Sr", "Mn", "Mn", "Ho", "Ho"], "frac_coords": [[0.512, 0.025, 0.282], [0.379, 0.758, 0.986], [0.729, 0.458, 0.158], [0.048, 0.095, 0.036], [0.672, 0.345, 0.906], [0.952, 0.905, 0.536], [0.328, 0.655, 0.406], [0.271, 0.542, 0.658], [0.621, 0.242, 0.486], [0.488, 0.975, 0.782], [0.087, 0.174, 0.678], [0.151, 0.302, 0.307], [0.913, 0.826, 0.178], [0.849, 0.698, 0.807], [0.524, 0.048, 0.945], [0.476, 0.952, 0.445], [0.788, 0.575, 0.528], [0.212, 0.425, 0.028]]}


No. 16
{"formula": "SrHoMn2O6", "functional": "PBE+U", "state": "relaxed", "final_energy_ev_per_atom": -7.43, "space_group": "Pmn2_1", "lattice_angstrom": [[-2.292, 3.419, -3.565], [-4.268, -3.536, -0.647], [-3.731, 3.458, 5.716]], "species": ["O", "O", "O", "O", "O", "O", "O", "O", "O", "O", "O", "O", "Ho", "Ho", "Mn", "Mn", "Mn", "Mn", "Sr", "Sr"], "frac_coords": [[0.228, 0.980, 0.210], [0.802, 0.549, 0.700], [0.895, 0.264, 0.000], [0.561, 0.784, 0.000], [0.728, 0.020, 0.710], [0.228, 0.980, 0.790], [0.802, 0.549, 0.300], [0.302, 0.451, 0.800], [0.061, 0.216, 0.500], [0.395, 0.736, 0.500], [0.302, 0.451, 0.200], [0.728, 0.020, 0.290], [0.981, 0.810, 0.500], [0.481, 0.190, 0.000], [0.499, 0.745, 0.749], [0.499, 0.745, 0.251], [0.999, 0.255, 0.249], [0.999, 0.255, 0.751], [0.005, 0.719, 0.000], [0.505, 0.281, 0.500]]}


No. 17
{"formula": "HoMnTe2O8", "functional": "PBE+U", "state": "relaxed", "final_energy_ev_per_atom": -6.26, "space_group": "P-3m1", "lattice_angstrom": [[-3.099, 4.850, -1.781], [-2.786, -4.421, 2.999], [1.350, 2.884, 5.506]], "species": ["Te", "Te", "O", "O", "O", "O", "O", "O", "O", "O", "Ho", "Mn"], "frac_coords": [[0.333, 0.667, 0.821], [0.667, 0.333, 0.179], [0.308, 0.154, 0.252], [0.667, 0.333, 0.895], [0.692, 0.846, 0.748], [0.154, 0.846, 0.748], [0.333, 0.667, 0.105], [0.846, 0.154, 0.252], [0.846, 0.692, 0.252], [0.154, 0.308, 0.748], [0.000, 0.000, 0.500], [0.000, 0.000, 0.000]]}


Size of the total moment list, top to bottom, in μB per formula unit: 10.000 4.007 4.001 20.000 3.016 3.979 6.000 4.977 8.000 14.000 5.542 1.000 5.000 13.152 4.000 7.000 4.679